Below is crystalline NaLi2Pm at its relaxed geometry, with properties calculated at the PBE level.

The final energy is -9.396 eV per cell. The value obtained for the spin magnetization is 0.000 μB/f.u. The calculation puts the relative energy among the computed polymorphs at 0.019 eV/atom. The energy of formation is 0.1253 eV/atom. As for the space-group type: P4/mmm.

Lattice parameters (Å, degrees): 3.4613 3.4613 9.1360 90.00 90.00 90.00
Last column: nearest neighbours and their distance in Å.
Fractional positions:
Na 0.0000 0.0000 0.0000  8 Li 3.31, 4 Na 3.46
Li 0.5000 0.5000 0.2434  4 Na 3.31, 4 Pm 3.39, 4 Li 3.46
Li 0.5000 0.5000 0.7566  4 Na 3.31, 4 Pm 3.39, 4 Li 3.46
Pm 0.0000 0.0000 0.5000  8 Li 3.39, 4 Pm 3.46

Below is crystalline NaLi2Pm at its relaxed geometry, with properties calculated at the PBE level.

The final energy is -27.345 eV per cell. The value obtained for the spin magnetization is 0.000 μB/f.u. The calculation puts the relative energy among the computed polymorphs at 0.089 eV/atom. The energy of formation is 0.1955 eV/atom. As for the space-group type: R-3m.

Lattice parameters (Å, degrees): 3.3386 3.3386 36.1508 90.00 90.00 120.00
Last column: nearest neighbours and their distance in Å.
Fractional positions:
Na 0.0000 0.0000 0.0000  6 Na 3.34, 6 Li 3.49
Na 0.3333 0.6667 0.6667  6 Na 3.34, 6 Li 3.49
Na 0.6667 0.3333 0.3333  6 Na 3.34, 6 Li 3.49
Li 0.0000 0.0000 0.4138  1 Pm 3.12, 6 Li 3.34, 3 Na 3.49
Li 0.0000 0.0000 0.5862  1 Pm 3.12, 6 Li 3.34, 3 Na 3.49
Li 0.3333 0.6667 0.0804  1 Pm 3.12, 6 Li 3.34, 3 Na 3.49
Li 0.3333 0.6667 0.2529  1 Pm 3.12, 6 Li 3.34, 3 Na 3.49
Li 0.6667 0.3333 0.7471  1 Pm 3.12, 6 Li 3.34, 3 Na 3.49
Li 0.6667 0.3333 0.9196  1 Pm 3.12, 6 Li 3.34, 3 Na 3.49
Pm 0.0000 0.0000 0.5000  2 Li 3.12, 6 Pm 3.34
Pm 0.3333 0.6667 0.1667  2 Li 3.12, 6 Pm 3.34
Pm 0.6667 0.3333 0.8333  2 Li 3.12, 6 Pm 3.34

Below is crystalline NaLiPmPt at its relaxed geometry, with properties calculated at the PBE level.

The final energy is -61.677 eV per cell. The value obtained for the spin magnetization is 0.000 μB/f.u. The energy of formation is -0.3487 eV/atom. As for the space-group type: F-43m.

Lattice parameters (Å, degrees): 7.0302 7.0302 7.0302 90.00 90.00 90.00
Last column: nearest neighbours and their distance in Å.
Fractional positions:
Na 0.0000 0.0000 0.0000  4 Li 3.04, 4 Pt 3.04
Na 0.0000 0.5000 0.5000  4 Li 3.04, 4 Pt 3.04
Na 0.5000 0.0000 0.5000  4 Li 3.04, 4 Pt 3.04
Na 0.5000 0.5000 0.0000  4 Li 3.04, 4 Pt 3.04
Li 0.2500 0.2500 0.7500  4 Na 3.04, 4 Pm 3.04
Li 0.2500 0.7500 0.2500  4 Na 3.04, 4 Pm 3.04
Li 0.7500 0.2500 0.2500  4 Na 3.04, 4 Pm 3.04
Li 0.7500 0.7500 0.7500  4 Na 3.04, 4 Pm 3.04
Pm 0.0000 0.0000 0.5000  4 Li 3.04, 4 Pt 3.04
Pm 0.0000 0.5000 0.0000  4 Li 3.04, 4 Pt 3.04
Pm 0.5000 0.0000 0.0000  4 Li 3.04, 4 Pt 3.04
Pm 0.5000 0.5000 0.5000  4 Li 3.04, 4 Pt 3.04
Pt 0.2500 0.2500 0.2500  4 Na 3.04, 4 Pm 3.04
Pt 0.2500 0.7500 0.7500  4 Na 3.04, 4 Pm 3.04
Pt 0.7500 0.2500 0.7500  4 Na 3.04, 4 Pm 3.04
Pt 0.7500 0.7500 0.2500  4 Na 3.04, 4 Pm 3.04

Below is crystalline NaLiPm2Se4 at its relaxed geometry, with properties calculated at the PBE level.

The final energy is -80.109 eV per cell. The value obtained for the spin magnetization is 0.000 μB/f.u. As for the space-group type: Imma. Its uncorrected formation energy is -1.673 eV per atom.

Lattice parameters (Å, degrees): 8.4041 8.4041 8.4041 120.31 119.73 89.97
Last column: nearest neighbours and their distance in Å.
Fractional positions:
Na 0.5000 0.0000 0.0000  6 Se 3.00-3.01
Na 0.5000 0.5000 0.5000  6 Se 3.00-3.01
Li 0.0000 0.0000 0.0000  6 Se 2.97-2.98
Li 0.5000 0.0000 0.5000  6 Se 2.97-2.98
Pm 0.0000 0.0000 0.5000  6 Se 2.93-2.94
Pm 0.0000 0.5000 0.0000  6 Se 2.93-2.94
Pm 0.0000 0.5000 0.5000  6 Se 2.96-2.97
Pm 0.5000 0.5000 0.0000  6 Se 2.96-2.97
Se 0.2429 0.7492 0.4937  3 Pm 2.93-2.96, 1 Li 2.98, 2 Na 3.01
Se 0.2445 0.2508 0.9937  3 Pm 2.93-2.96, 1 Li 2.98, 2 Na 3.01
Se 0.2473 0.2476 0.5003  3 Pm 2.94-2.97, 2 Li 2.97, 1 Na 3.00
Se 0.2473 0.7469 0.9997  3 Pm 2.94-2.97, 2 Li 2.97, 1 Na 3.00
Se 0.7527 0.2531 0.0003  3 Pm 2.94-2.97, 2 Li 2.97, 1 Na 3.00
Se 0.7527 0.7524 0.4997  3 Pm 2.94-2.97, 2 Li 2.97, 1 Na 3.00
Se 0.7555 0.7492 0.0063  3 Pm 2.93-2.96, 1 Li 2.98, 2 Na 3.01
Se 0.7571 0.2508 0.5063  3 Pm 2.93-2.96, 1 Li 2.98, 2 Na 3.01

Below is crystalline NaLiPmSi at its relaxed geometry, with properties calculated at the PBE level.

The final energy is -55.875 eV per cell. The value obtained for the spin magnetization is 0.000 μB/f.u. As for the space-group type: F-43m. Its uncorrected formation energy is -0.141 eV per atom.

Lattice parameters (Å, degrees): 7.1061 7.1061 7.1061 90.00 90.00 90.00
Last column: nearest neighbours and their distance in Å.
Fractional positions:
Na 0.0000 0.0000 0.0000  4 Li 3.08, 4 Si 3.08
Na 0.0000 0.5000 0.5000  4 Si 3.08, 4 Li 3.08
Na 0.5000 0.0000 0.5000  4 Si 3.08, 4 Li 3.08
Na 0.5000 0.5000 0.0000  4 Si 3.08, 4 Li 3.08
Li 0.2500 0.2500 0.7500  4 Na 3.08, 4 Pm 3.08
Li 0.2500 0.7500 0.2500  4 Na 3.08, 4 Pm 3.08
Li 0.7500 0.2500 0.2500  4 Na 3.08, 4 Pm 3.08
Li 0.7500 0.7500 0.7500  4 Na 3.08, 4 Pm 3.08
Pm 0.0000 0.0000 0.5000  4 Li 3.08, 4 Si 3.08
Pm 0.0000 0.5000 0.0000  4 Li 3.08, 4 Si 3.08
Pm 0.5000 0.0000 0.0000  4 Li 3.08, 4 Si 3.08
Pm 0.5000 0.5000 0.5000  4 Li 3.08, 4 Si 3.08
Si 0.2500 0.2500 0.2500  4 Na 3.08, 4 Pm 3.08
Si 0.2500 0.7500 0.7500  4 Pm 3.08, 4 Na 3.08
Si 0.7500 0.2500 0.7500  4 Pm 3.08, 4 Na 3.08
Si 0.7500 0.7500 0.2500  4 Pm 3.08, 4 Na 3.08

Below is crystalline NaLi2PmSn2 at its relaxed geometry, with properties calculated at the PBE level.

The final energy is -20.486 eV per cell. The value obtained for the spin magnetization is 0.000 μB/f.u. The energy of formation is -0.4305 eV/atom. As for the space-group type: P-3m1.

Lattice parameters (Å, degrees): 4.9082 4.9082 7.1037 90.00 90.00 120.00
Last column: nearest neighbours and their distance in Å.
Fractional positions:
Na 0.0000 0.0000 0.0000  6 Li 3.28, 6 Sn 3.47, 2 Pm 3.55
Li 0.3333 0.6667 0.7680  3 Sn 2.85
Li 0.6667 0.3333 0.2320  3 Sn 2.85
Pm 0.0000 0.0000 0.5000  6 Sn 3.23, 6 Li 3.41, 2 Na 3.55
Sn 0.3333 0.6667 0.2808  3 Li 2.85
Sn 0.6667 0.3333 0.7192  3 Li 2.85

Below is crystalline NaLiPm2Te4 at its relaxed geometry, with properties calculated at the PBE level.

The final energy is -35.754 eV per cell. The value obtained for the spin magnetization is 0.000 μB/f.u. As for the space-group type: P2/m. Its uncorrected formation energy is -1.307 eV per atom.

Lattice parameters (Å, degrees): 7.7661 4.4876 7.7711 90.00 109.50 90.00
Last column: nearest neighbours and their distance in Å.
Fractional positions:
Na 0.0000 0.0000 0.0000  6 Te 3.19-3.20
Li 0.0000 0.5000 0.5000  6 Te 3.16
Pm 0.5000 0.0000 0.5000  6 Te 3.15
Pm 0.5000 0.5000 0.0000  6 Te 3.18-3.19
Te 0.2496 0.0000 0.7460  3 Pm 3.15-3.19, 2 Li 3.16, 1 Na 3.19
Te 0.2530 0.5000 0.2547  3 Pm 3.15-3.18, 1 Li 3.16, 2 Na 3.20
Te 0.7470 0.5000 0.7453  3 Pm 3.15-3.18, 1 Li 3.16, 2 Na 3.20
Te 0.7504 0.0000 0.2540  3 Pm 3.15-3.19, 2 Li 3.16, 1 Na 3.19

Below is crystalline NaLiPr at its relaxed geometry, with properties calculated at the PBE level.

The final energy is -15.057 eV per cell. The value obtained for the spin magnetization is 0.000 μB/f.u. The calculation puts the relative energy among the computed polymorphs at 0.097 eV/atom. The energy of formation is 0.1613 eV/atom. As for the space-group type: I4mm.

Lattice parameters (Å, degrees): 3.3947 3.3947 16.3096 90.00 90.00 90.00
Last column: nearest neighbours and their distance in Å.
Fractional positions:
Na 0.0000 0.0000 0.0000  4 Na 3.39, 4 Li 3.51
Na 0.5000 0.5000 0.5000  4 Na 3.39, 4 Li 3.51
Li 0.0000 0.0000 0.3427  4 Li 3.39, 4 Pr 3.50, 4 Na 3.51
Li 0.5000 0.5000 0.8427  4 Li 3.39, 4 Pr 3.50, 4 Na 3.51
Pr 0.0000 0.0000 0.6866  4 Pr 3.39, 4 Li 3.50
Pr 0.5000 0.5000 0.1866  4 Pr 3.39, 4 Li 3.50

Below is crystalline Na2LiPr at its relaxed geometry, with properties calculated at the PBE level.

The final energy is -25.778 eV per cell. The value obtained for the spin magnetization is 0.001 μB/f.u. The energy of formation is 0.1847 eV/atom. As for the space-group type: R-3m.

Lattice parameters (Å, degrees): 3.4672 3.4672 37.6446 90.00 90.00 120.00
Last column: nearest neighbours and their distance in Å.
Fractional positions:
Na 0.0000 0.0000 0.0921  3 Li 3.45, 1 Pr 3.47, 6 Na 3.47
Na 0.0000 0.0000 0.9079  3 Li 3.45, 1 Pr 3.47, 6 Na 3.47
Na 0.3333 0.6667 0.5746  3 Li 3.45, 1 Pr 3.47, 6 Na 3.47
Na 0.3333 0.6667 0.7587  3 Li 3.45, 1 Pr 3.47, 6 Na 3.47
Na 0.6667 0.3333 0.2413  3 Li 3.45, 1 Pr 3.47, 6 Na 3.47
Na 0.6667 0.3333 0.4254  3 Li 3.45, 1 Pr 3.47, 6 Na 3.47
Li 0.0000 0.0000 0.5000  6 Na 3.45, 6 Li 3.47
Li 0.3333 0.6667 0.1667  6 Na 3.45, 6 Li 3.47
Li 0.6667 0.3333 0.8333  6 Na 3.45, 6 Li 3.47
Pr 0.0000 0.0000 0.0000  2 Na 3.47, 6 Pr 3.47
Pr 0.3333 0.6667 0.6667  2 Na 3.47, 6 Pr 3.47
Pr 0.6667 0.3333 0.3333  2 Na 3.47, 6 Pr 3.47

Below is crystalline NaLiPr at its relaxed geometry, with properties calculated at the PBE level.

The final energy is -7.663 eV per cell. The value obtained for the spin magnetization is 0.000 μB/f.u. The calculation puts the relative energy among the computed polymorphs at 0.052 eV/atom. The energy of formation is 0.1164 eV/atom. As for the space-group type: P3m1.

Lattice parameters (Å, degrees): 3.5141 3.5141 8.8115 90.00 90.00 120.00
Last column: nearest neighbours and their distance in Å.
Fractional positions:
Na 0.0000 0.0000 0.0000  3 Li 3.51, 6 Na 3.51, 3 Pr 3.78
Li 0.3333 0.6667 0.6755  3 Pr 3.43, 3 Na 3.51, 6 Li 3.51
Pr 0.6667 0.3333 0.3619  3 Li 3.43, 6 Pr 3.51, 3 Na 3.78